# CaReN3 | the Alexandria database | PBE | relaxed
# Space-group type = No. 160
# Density = 4.08 g/cm³
# Volume = 21.85 Å³ per atom
# DOS(E_F) = 2.44 states/eV/f.u.
# Final energy = -7.603 eV per atom
data_CaReN3
_space_group_name_H-M_alt 'P 1'
_space_group_IT_number 1
_space_group_name_Hall 'P 1'
_cell_length_a 4.786
_cell_length_b 4.786
_cell_length_c 4.786
_cell_angle_alpha 87.13
_cell_angle_beta 87.13
_cell_angle_gamma 87.13
loop_
_atom_site_label
_atom_site_type_symbol
_atom_site_fract_x
_atom_site_fract_y
_atom_site_fract_z
Re1 Re 0.896 0.896 0.896
Ca1 Ca 0.549 0.549 0.549
N1 N 0.669 0.092 0.669
N2 N 0.092 0.669 0.669
N3 N 0.669 0.669 0.092


# Cr2BiC | the Alexandria database | PBE | relaxed
# Space-group type = No. 225
# Density = 9.36 g/cm³
# Volume = 14.41 Å³ per atom
# DOS(E_F) = 4.04 states/eV/f.u.
# Formation enthalpy at 0 K = 6.445 eV per formula unit
data_Cr2BiC
_space_group_name_H-M_alt 'P 1'
_space_group_IT_number 1
_space_group_name_Hall 'P 1'
_cell_length_a 4.336
_cell_length_b 4.336
_cell_length_c 4.336
_cell_angle_alpha 60.00
_cell_angle_beta 60.00
_cell_angle_gamma 60.00
loop_
_atom_site_label
_atom_site_type_symbol
_atom_site_fract_x
_atom_site_fract_y
_atom_site_fract_z
Cr1 Cr 0.250 0.250 0.250
Cr2 Cr 0.750 0.750 0.750
C1 C 0.000 0.000 0.000
Bi1 Bi 0.500 0.500 0.500


# Ce2AlC | the Alexandria database | PBE | relaxed
# Space-group type = No. 123
# Density = 6.98 g/cm³
# Volume = 18.98 Å³ per atom
# DOS(E_F) = 5.29 states/eV/f.u.
# Formation enthalpy at 0 K = -0.358 eV per formula unit
data_Ce2AlC
_space_group_name_H-M_alt 'P 1'
_space_group_IT_number 1
_space_group_name_Hall 'P 1'
_cell_length_a 3.117
_cell_length_b 3.117
_cell_length_c 7.815
_cell_angle_alpha 90.00
_cell_angle_beta 90.00
_cell_angle_gamma 90.00
loop_
_atom_site_label
_atom_site_type_symbol
_atom_site_fract_x
_atom_site_fract_y
_atom_site_fract_z
C1 C 0.500 0.500 0.000
Al1 Al 0.500 0.500 0.500
Ce1 Ce 0.000 0.000 0.817
Ce2 Ce 0.000 0.000 0.183


# KOsCl2 | the Alexandria database | PBE | relaxed
# Space-group type = No. 71
# Density = 4.90 g/cm³
# Volume = 25.44 Å³ per atom
# DOS(E_F) = 2.44 states/eV/f.u.
# Relative energy among the computed polymorphs = 0.00 eV/f.u.
data_KOsCl2
_space_group_name_H-M_alt 'P 1'
_space_group_IT_number 1
_space_group_name_Hall 'P 1'
_cell_length_a 5.752
_cell_length_b 5.752
_cell_length_c 6.118
_cell_angle_alpha 57.92
_cell_angle_beta 57.92
_cell_angle_gamma 37.37
loop_
_atom_site_label
_atom_site_type_symbol
_atom_site_fract_x
_atom_site_fract_y
_atom_site_fract_z
K1 K 0.750 0.750 0.750
Os1 Os 0.250 0.250 0.250
Cl1 Cl 0.913 0.913 0.087
Cl2 Cl 0.587 0.587 0.413